Computed, not measured: an optimized crystal structure of Y4Sb at the GGA-PBE level of DFT.

```
data_Y4Sb
_cell_length_a 4.2523
_cell_length_b 4.2523
_cell_length_c 17.8913
_cell_angle_alpha 90.00
_cell_angle_beta 90.00
_cell_angle_gamma 90.00
_space_group_name_H-M_alt 'I 4/m m m'
_space_group_IT_number 139
_space_group_name_Hall '-I 4 2'
loop_
_atom_site_label
_atom_site_type_symbol
_atom_site_fract_x
_atom_site_fract_y
_atom_site_fract_z
_atom_site_occupancy
Y1 Y 0.0000 0.0000 0.0885 1
Y2 Y 0.0000 0.5000 0.2500 1
Sb1 Sb 0.0000 0.0000 0.5000 1
```

E above lowest polymorph ... 95 meV per atom
VASP energy ... -58.73 eV for the cell shown
E_form (uncorrected) ... 123 meV per atom
DOS(E_F) ... 5.66 states/eV/f.u.
Total magnetic moment ... 0.000 μB/atom


Computed, not measured: an optimized crystal structure of LaCe2Pm3Se6 at the GGA-PBE level of DFT.

```
data_LaCe2Pm3Se6
_cell_length_a 7.2955
_cell_length_b 12.6516
_cell_length_c 7.3219
_cell_angle_alpha 90.00
_cell_angle_beta 109.46
_cell_angle_gamma 90.00
_space_group_name_H-M_alt 'C 1 2/m 1'
_space_group_IT_number 12
loop_
_space_group_symop_operation_xyz
'x,y,z'
'-x,-y,-z'
'-x,y,-z'
'x,-y,z'
'x+1/2,y+1/2,z'
'-x+1/2,-y+1/2,-z'
'-x+1/2,y+1/2,-z'
'x+1/2,-y+1/2,z'
loop_
_atom_site_label
_atom_site_type_symbol
_atom_site_fract_x
_atom_site_fract_y
_atom_site_fract_z
_atom_site_occupancy
La1 La 0.0000 0.0000 0.0000 1
Ce1 Ce 0.0000 0.3331 0.0000 1
Pm1 Pm 0.0000 0.1635 0.5000 1
Pm2 Pm 0.0000 0.5000 0.5000 1
Se1 Se 0.2463 0.3311 0.7457 1
Se2 Se 0.2457 0.5000 0.2509 1
```

VASP energy ... -148.62 eV for the cell shown
E_form (uncorrected) ... -1863 meV per atom
DOS(E_F) ... 15.23 states/eV/f.u.
Total magnetic moment ... 0.160 μB/atom